! LiTe2MoO8, optimized geometry, DFT PBE with a Hubbard U; values from VASP
! * uncorrected energy: -5.5489 eV/atom
! * SG: No. 119
! * total magnetic moment: 1.000 μB per formula unit
&SYSTEM
  ibrav = 0, nat = 12, ntyp = 4
/
ATOMIC_SPECIES
Li 6.94 Li.upf
Te 127.60 Te.upf
Mo 95.94 Mo.upf
O 16.00 O.upf
CELL_PARAMETERS angstrom
6.047 0.491 0.000
-2.242 5.637 0.000
-1.902 -3.064 4.879
ATOMIC_POSITIONS crystal
Li 0.250 0.750 0.500
Te 0.750 0.250 0.500
Te 0.500 0.500 0.000
Mo 0.000 0.000 0.000
O 0.347 0.088 0.259
O 0.342 0.552 0.211
O 0.342 0.131 0.789
O 0.830 0.088 0.741
O 0.869 0.658 0.211
O 0.912 0.170 0.259
O 0.912 0.653 0.741
O 0.448 0.658 0.789